Ba2GaOs | GGA-PBE | optimized geometry

The value obtained for the magnetic moment is 0.00 μB per cell. The total energy comes out at -68.907 eV per cell. For the formation energy, the calculation gives 0.22 eV/atom. For the density of states at the Fermi level, the calculation gives 1.248 states/eV per atom.

The space group is I-42d (No. 122) and the conventional cell measures 11.6216, 11.6216 and 4.8963 Å, with angles of 90.00, 90.00 and 90.00 degrees. Symmetry generates all atoms from Ba at (0.0677, 0.7500, 0.1250), Ga at (0.0000, 0.0000, 0.5000) and Os at (0.0000, 0.0000, 0.0000).